Material: In2FeSb
Method: DFT, PBE
State: optimized geometry

POSCAR file:
```
In2FeSb
1.0
1.6686 0.9634 9.2666
-1.6686 0.9634 9.2666
0.0000 -1.9267 9.2666
In Fe Sb
2 1 1
Direct
0.2366 0.2366 0.2366
0.7634 0.7634 0.7634
0.5000 0.5000 0.5000
0.0000 0.0000 0.0000
```

Values from the calculation:
space group	R-3m, No. 166
formation energy from raw total energies	1.37	eV per formula unit
total magnetization	2.27	μB/f.u.



Material: AcPrNiPd
Method: DFT, PBE
State: optimized geometry

POSCAR file:
```
AcPrNiPd
1.0
0.0000 3.6768 3.6768
3.6768 0.0000 3.6768
3.6768 3.6768 0.0000
Ac Pr Ni Pd
1 1 1 1
Direct
0.0000 0.0000 0.0000
0.5000 0.5000 0.5000
0.2500 0.2500 0.2500
0.7500 0.7500 0.7500
```

Values from the calculation:
polymorph energy (0 for the lowest one)	2.489	kcal/mol of atoms
space group	F-43m, No. 216
ΔE_f	-0.40	eV/atom
total magnetization	0.00	μB/f.u.



Material: TmLuTlTc
Method: DFT, PBE
State: optimized geometry

POSCAR file:
```
TmLuTlTc
1.0
0.0000 3.5416 3.5416
3.5416 0.0000 3.5416
3.5416 3.5416 0.0000
Tm Lu Tl Tc
1 1 1 1
Direct
0.0000 0.0000 0.0000
0.5000 0.5000 0.5000
0.7500 0.7500 0.7500
0.2500 0.2500 0.2500
```

Values from the calculation:
space group	F-43m, No. 216
ΔE_f	-0.09	eV/atom
total magnetization	0.00	μB/f.u.